[1]
This record from Alexandria describes YMg2Sc after structural relaxation. The functional is PBEsol.

POSCAR file:
```
YMg2Sc
1.0
3.6566 0.0000 0.0000
0.0000 3.6566 0.0000
0.0000 0.0000 7.3571
Sc Mg Y
1 2 1
Cartesian
1.8283 1.8283 0.0000
0.0000 0.0000 1.7043
0.0000 0.0000 5.6528
1.8283 1.8283 3.6785
```

The value obtained for the formation enthalpy at 0 K is -0.24 eV/f.u. As for the space group: P4/mmm, No. 123.

=====

[2]
This record from Alexandria describes CdMoSe2 after structural relaxation. The functional is PBEsol.

POSCAR file:
```
CdMoSe2
1.0
4.6161 0.0000 0.0000
2.3080 3.9976 0.0000
2.3080 1.3325 3.7690
Cd Se Mo
1 2 1
Cartesian
4.6161 2.6651 1.8845
6.9241 3.9976 2.8267
2.3080 1.3325 0.9422
0.0000 0.0000 0.0000
```

For the energy relative to the elements, uncorrected, the calculation gives 0.188 eV per atom. As for the space group: Fm-3m, No. 225.

=====

[3]
This record from Alexandria describes IrOs3 after structural relaxation. The functional is PBEsol.

POSCAR file:
```
IrOs3
1.0
-0.4100 3.0776 -1.0601
-1.6483 -1.1177 -2.6072
-4.6114 0.3397 2.7699
Os Ir
3 1
Cartesian
-4.4946 1.2353 0.2479
-2.3057 0.1699 1.3849
-2.1752 1.0644 -1.1453
0.0000 0.0000 0.0000
```

The value obtained for the formation enthalpy at 0 K is 2.72 eV/f.u. As for the space group: P4/mmm, No. 123.